w) Compound: La4OsPb
Source: the Alexandria database
Functional: PBE-GGA
Structure: relaxed

The structure in extended XYZ format:
```
12
Lattice="4.5398 -7.0924 0.0000 4.5398 7.0924 0.0000 -2.2719 0.0000 5.9626" Properties=species:S:1:pos:R:3 pbc="T T T"
La 1.4078 4.6586 5.6051
La 1.0726 1.0199 3.7831
La 4.2639 4.6586 3.3387
La 2.2085 -1.0199 0.8018
La 4.5991 1.0199 5.1607
La 2.5438 -4.6586 2.6238
La 5.7351 -1.0199 2.1794
La 5.3998 -4.6586 0.3574
Os 3.9718 7.0858 1.4906
Os 2.8358 -7.0858 4.4719
Pb 3.9718 1.7614 1.4906
Pb 2.8358 -1.7614 4.4719
```

Properties
Space group: No. 15



x) Compound: La4OsPb
Source: the Alexandria database
Functional: PBE-GGA
Structure: relaxed

The structure in extended XYZ format:
```
6
Lattice="0.0000 4.4307 4.4307 4.4307 0.0000 4.4307 4.4307 4.4307 0.0000" Properties=species:S:1:pos:R:3 pbc="T T T"
La 1.0972 1.0972 1.0972
La 3.3335 3.3335 1.0972
La 3.3335 1.0972 3.3335
La 1.0972 3.3335 3.3335
Os 6.6460 6.6460 6.6460
Pb 4.4307 4.4307 4.4307
```

Properties
Space group: No. 216



Which structure wins on stability? w) wins.



w) Compound: LaOsPb3
Source: the Alexandria database
Functional: PBE-GGA
Structure: relaxed

The structure in extended XYZ format:
```
5
Lattice="5.3317 0.0000 0.0000 0.0000 5.3317 0.0000 0.0000 0.0000 5.3317" Properties=species:S:1:pos:R:3 pbc="T T T"
La 0.0000 0.0000 0.0000
Os 2.6659 2.6659 2.6659
Pb 0.0000 2.6659 2.6659
Pb 2.6659 0.0000 2.6659
Pb 2.6659 2.6659 0.0000
```

Properties
Space group: No. 221



x) Compound: LaOsPb3
Source: the Alexandria database
Functional: PBE-GGA
Structure: relaxed

The structure in extended XYZ format:
```
5
Lattice="5.9186 0.0000 0.0000 0.0000 5.9186 0.0000 0.0000 0.0000 5.9186" Properties=species:S:1:pos:R:3 pbc="T T T"
La 0.0000 0.0000 0.0000
Os 2.9593 2.9593 2.9593
Pb 0.0000 0.0000 2.9593
Pb 0.0000 2.9593 0.0000
Pb 2.9593 0.0000 0.0000
```

Properties
Space group: No. 221



Which structure wins on stability? w) wins.



w) Compound: La3OsPd
Source: the Alexandria database
Functional: PBE-GGA
Structure: relaxed

The structure in extended XYZ format:
```
5
Lattice="5.5236 0.0000 0.0000 0.0000 5.5236 0.0000 0.0000 0.0000 5.5236" Properties=species:S:1:pos:R:3 pbc="T T T"
La 0.0000 0.0000 2.7618
La 0.0000 2.7618 0.0000
La 2.7618 0.0000 0.0000
Os 0.0000 0.0000 0.0000
Pd 2.7618 2.7618 2.7618
```

Properties
Space group: No. 221



x) Compound: La3OsPd
Source: the Alexandria database
Functional: PBE-GGA
Structure: relaxed

The structure in extended XYZ format:
```
20
Lattice="8.9232 0.0000 0.0000 0.0000 7.6164 0.0000 -2.6124 0.0000 8.3298" Properties=species:S:1:pos:R:3 pbc="T T T"
La -0.1797 0.0624 1.7934
La -1.4859 3.7458 5.9583
La 2.1644 4.9506 0.8627
La 0.8581 6.4740 5.0276
La 0.5031 1.4407 8.3164
La 1.8093 2.3676 4.1515
La 4.5014 5.2489 4.1783
La 5.8076 6.1758 0.0134
La 5.4526 1.1424 3.3022
La 4.1464 2.6658 7.4671
La 7.7967 3.8706 2.3715
La 6.4905 7.5540 6.5364
Os -0.7768 1.4236 4.3559
Os 0.5294 2.3846 0.1909
Os 5.7814 5.2318 8.1389
Os 7.0876 6.1928 3.9740
Pd 1.5241 4.0980 6.8176
Pd 2.8303 7.3266 2.6527
Pd 3.4805 0.2898 5.6771
Pd 4.7867 3.5184 1.5122
```

Properties
Space group: No. 14



Which structure wins on stability? x) wins.



w) Compound: LaOs2Pd
Source: the Alexandria database
Functional: PBE-GGA
Structure: relaxed

The structure in extended XYZ format:
```
4
Lattice="0.0000 3.3148 3.3148 3.3148 0.0000 3.3148 3.3148 3.3148 0.0000" Properties=species:S:1:pos:R:3 pbc="T T T"
La 0.0000 0.0000 0.0000
Os 1.6574 1.6574 1.6574
Os 4.9722 4.9722 4.9722
Pd 3.3148 3.3148 3.3148
```

Properties
Space group: No. 225



x) Compound: LaOs2Pd
Source: the Alexandria database
Functional: PBE-GGA
Structure: relaxed

The structure in extended XYZ format:
```
8
Lattice="-2.0969 2.0969 9.8327 2.0969 -2.0969 9.8327 2.0969 2.0969 -9.8327" Properties=species:S:1:pos:R:3 pbc="T T T"
La 0.0000 0.0000 0.0000
La 0.0000 2.0969 4.9164
Os 1.0484 -0.5753 7.3745
Os 1.5216 1.0484 2.4582
Os 1.0484 2.6722 -2.4582
Os 0.5753 1.0484 12.2909
Pd 2.0969 0.0000 4.9164
Pd 0.0000 0.0000 9.8327
```

Properties
Space group: No. 122



Which structure wins on stability? x) wins.



w) Compound: LaOsPd2
Source: the Alexandria database
Functional: PBE-GGA
Structure: relaxed

The structure in extended XYZ format:
```
4
Lattice="0.0000 3.3782 3.3782 3.3782 0.0000 3.3782 3.3782 3.3782 0.0000" Properties=species:S:1:pos:R:3 pbc="T T T"
La 0.0000 0.0000 0.0000
Os 3.3782 3.3782 3.3782
Pd 1.6891 1.6891 1.6891
Pd 5.0673 5.0673 5.0673
```

Properties
Space group: No. 225



x) Compound: LaOsPd2
Source: the Alexandria database
Functional: PBE-GGA
Structure: relaxed

The structure in extended XYZ format:
```
8
Lattice="-2.1216 2.1216 9.3208 2.1216 -2.1216 9.3208 2.1216 2.1216 -9.3208" Properties=species:S:1:pos:R:3 pbc="T T T"
La 0.0000 0.0000 0.0000
La 0.0000 2.1216 4.6604
Os 2.1216 0.0000 4.6604
Os 0.0000 0.0000 9.3208
Pd 1.0608 -0.8252 6.9906
Pd 1.2963 1.0608 2.3302
Pd 1.0608 2.9468 -2.3302
Pd 0.8252 1.0608 11.6510
```

Properties
Space group: No. 122



Which structure wins on stability? w) wins.



w) Compound: La3PmOs
Source: the Alexandria database
Functional: PBE-GGA
Structure: relaxed

The structure in extended XYZ format:
```
5
Lattice="5.6760 0.0000 0.0000 0.0000 5.6760 0.0000 0.0000 0.0000 5.6760" Properties=species:S:1:pos:R:3 pbc="T T T"
La 0.0000 0.0000 2.8380
La 0.0000 2.8380 0.0000
La 2.8380 0.0000 0.0000
Pm 2.8380 2.8380 2.8380
Os 0.0000 0.0000 0.0000
```

Properties
Space group: No. 221



x) Compound: La3PmOs
Source: the Alexandria database
Functional: PBE-GGA
Structure: relaxed

The structure in extended XYZ format:
```
10
Lattice="6.2531 -1.9924 0.0000 6.2531 1.9924 0.0000 -5.7590 0.0000 12.8369" Properties=species:S:1:pos:R:3 pbc="T T T"
La 0.0000 0.0000 0.0000
La -2.0201 0.0000 4.8013
La -2.2686 0.0000 11.0481
La 3.2001 0.0000 1.7521
La 6.7838 0.0000 3.0469
La 4.8336 0.0000 7.8190
Pm 1.5798 0.0000 6.1818
Pm 1.3579 0.0000 9.6383
Os -3.4362 0.0000 8.0696
Os 2.5154 0.0000 12.5493
```

Properties
Space group: No. 8



y) Compound: La3PmOs
Source: the Alexandria database
Functional: PBE-GGA
Structure: relaxed

The structure in extended XYZ format:
```
10
Lattice="7.9611 0.0000 0.0000 0.0000 6.7636 0.0000 0.0000 0.0000 6.5776" Properties=species:S:1:pos:R:3 pbc="T T T"
La 0.0000 1.0705 0.0000
La 1.9824 4.5804 6.5453
La 1.9981 2.1833 3.2565
La 3.9806 5.6932 3.2888
La 5.9630 2.1833 3.2565
La 5.9787 4.5804 6.5453
Pm 0.0000 5.6365 3.2550
Pm 3.9806 1.1271 6.5437
Os 0.0000 3.3397 1.5946
Os 3.9806 3.4239 4.8834
```

Properties
Space group: No. 31



Which structure wins on stability? x) wins.



w) Compound: La3PrOs
Source: the Alexandria database
Functional: PBE-GGA
Structure: relaxed

The structure in extended XYZ format:
```
10
Lattice="6.2921 0.0000 0.0000 0.0000 8.9564 0.0000 -1.4564 0.0000 6.1302" Properties=species:S:1:pos:R:3 pbc="T T T"
La 0.9345 2.2391 1.7475
La 0.5934 8.9550 4.7405
La 0.5934 4.4796 4.7405
La 4.2423 0.0014 1.3897
La 4.2423 4.4768 1.3897
La 3.9012 6.7173 4.3827
Pr 0.9308 6.7173 1.7438
Pr 3.9049 2.2391 4.3864
Os 3.1105 2.2391 0.0222
Os 1.7252 6.7173 6.1079
```

Properties
Space group: No. 11



x) Compound: La3PrOs
Source: the Alexandria database
Functional: PBE-GGA
Structure: relaxed

The structure in extended XYZ format:
```
10
Lattice="7.9807 0.0000 0.0000 0.0000 6.7911 0.0000 0.0000 0.0000 6.5952" Properties=species:S:1:pos:R:3 pbc="T T T"
La 0.0000 1.0798 0.0000
La 1.9824 4.5826 6.5589
La 2.0079 2.2085 3.2612
La 3.9903 5.7112 3.2976
La 5.9727 2.2085 3.2612
La 5.9983 4.5826 6.5589
Pr 0.0000 5.6885 3.2680
Pr 3.9903 1.1025 6.5656
Os 0.0000 3.3419 1.5922
Os 3.9903 3.4491 4.8898
```

Properties
Space group: No. 31



Which structure wins on stability? w) wins.



w) Compound: LaPrOs
Source: the Alexandria database
Functional: PBE-GGA
Structure: relaxed

The structure in extended XYZ format:
```
3
Lattice="0.0000 3.5185 3.5185 3.5185 0.0000 3.5185 3.5185 3.5185 0.0000" Properties=species:S:1:pos:R:3 pbc="T T T"
La 0.0000 0.0000 0.0000
Pr 3.5185 3.5185 3.5185
Os 1.7593 1.7593 1.7593
```

Properties
Space group: No. 216



x) Compound: LaPrOs
Source: the Alexandria database
Functional: PBE-GGA
Structure: relaxed

The structure in extended XYZ format:
```
3
Lattice="-1.7614 1.7614 7.1324 1.7614 -1.7614 7.1324 1.7614 1.7614 -7.1324" Properties=species:S:1:pos:R:3 pbc="T T T"
La 0.0000 0.0000 0.0000
Pr 0.0000 0.0000 10.8027
Os 0.0000 0.0000 5.4036
```

Properties
Space group: No. 107



y) Compound: LaPrOs
Source: the Alexandria database
Functional: PBE-GGA
Structure: relaxed

The structure in extended XYZ format:
```
3
Lattice="4.2544 0.0000 0.0000 -2.1272 3.6844 0.0000 0.0000 0.0000 6.2850" Properties=species:S:1:pos:R:3 pbc="T T T"
La 0.0000 0.0000 0.0000
Pr 2.1272 1.2281 3.3833
Os 0.0000 2.4563 4.8838
```

Properties
Space group: No. 156



Which structure wins on stability? w) wins.